1.
A geometry-optimized SrNbPt2 structure. Source: OQMD, functional PBE.

Output
Size of the total moment   0.01 μB per cell
Total energy   -94.72 eV/cell
Volume   18.6 Å³ per atom

Unit cell a=6.6806 b=6.6806 c=6.6806 alpha=90.00 beta=90.00 gamma=90.00
Last column: nearest neighbours and their distance in Å.
Space group F-43m (No. 216)
Unique sites:
Sr  0.0000  0.0000  0.0000 x4  4 Nb 2.89, 4 Pt 2.89
Nb  0.2500  0.2500  0.7500 x4  4 Sr 2.89, 4 Pt 2.89
Pt  0.0000  0.0000  0.5000 x4  4 Pt 2.89, 4 Nb 2.89
Pt  0.2500  0.2500  0.2500 x4  4 Sr 2.89, 4 Pt 2.89



2.
A geometry-optimized SrNbPt structure. Source: OQMD, functional PBE.

Output
Distance to the lowest polymorph of the same formula   0 meV per atom
Size of the total moment   3.49 μB per cell
Volume   25.6 Å³ per atom

Unit cell a=6.7451 b=6.7451 c=6.7451 alpha=90.00 beta=90.00 gamma=90.00
Last column: nearest neighbours and their distance in Å.
Space group F-43m (No. 216)
Unique sites:
Sr  0.0000  0.0000  0.0000 x4  4 Pt 2.92
Nb  0.0000  0.0000  0.5000 x4  4 Pt 2.92
Pt  0.2500  0.2500  0.7500 x4  4 Nb 2.92, 4 Sr 2.92



3.
A geometry-optimized TaNb5Pt2 structure. Source: OQMD, functional PBE.

Output
Calculated formation energy   -401 meV/atom
Size of the total moment   0.00 μB per cell
Volume   17.5 Å³ per atom

Unit cell a=5.1860 b=5.1860 c=5.2045 alpha=90.00 beta=90.00 gamma=90.00
Last column: nearest neighbours and their distance in Å.
Space group P-4m2 (No. 115)
Unique sites:
Ta  0.0000  0.0000  0.0000 x1  2 Nb 2.60, 4 Pt 2.90
Nb  0.0000  0.0000  0.5000 x1  2 Ta 2.60, 4 Pt 2.90
Nb  0.2496  0.5000  0.7500 x4  2 Nb 2.59-2.60
Pt  0.0000  0.5000  0.2491 x2  2 Ta 2.90, 10 Nb 2.90-2.91



4.
A geometry-optimized Ta2NbPt structure. Source: OQMD, functional PBE.

Output
Calculated formation energy   -413 meV/atom
Size of the total moment   0.00 μB per cell
Volume   17.4 Å³ per atom

Unit cell a=5.2031 b=5.2031 c=5.1544 alpha=90.00 beta=90.00 gamma=90.00
Last column: nearest neighbours and their distance in Å.
Space group P4_2/mmc (No. 131)
Unique sites:
Ta  0.0000  0.2487  0.0000 x4  2 Ta 2.59-2.62, 2 Pt 2.89
Nb  0.5000  0.5000  0.2500 x2  2 Nb 2.58
Pt  0.0000  0.5000  0.5000 x2  8 Ta 2.89-2.91, 4 Nb 2.90



5.
A geometry-optimized TaNbPt2 structure. Source: OQMD, functional PBE.

Output
Calculated formation energy   -338 meV/atom
Size of the total moment   2.44 μB per cell
Volume   16.6 Å³ per atom

Unit cell a=6.4310 b=6.4310 c=6.4310 alpha=90.00 beta=90.00 gamma=90.00
Last column: nearest neighbours and their distance in Å.
Space group F-43m (No. 216)
Unique sites:
Ta  0.0000  0.0000  0.0000 x4  4 Nb 2.78, 4 Pt 2.78
Nb  0.2500  0.2500  0.7500 x4  4 Ta 2.78, 4 Pt 2.78
Pt  0.0000  0.0000  0.5000 x4  4 Nb 2.78, 4 Pt 2.78
Pt  0.2500  0.2500  0.2500 x4  4 Ta 2.78, 4 Pt 2.78



6.
A geometry-optimized Ta2NbPt structure. Source: OQMD, functional PBE.

Output
Calculated formation energy   -221 meV/atom
Size of the total moment   0.04 μB per cell
Volume   17.3 Å³ per atom

Unit cell a=6.5230 b=6.5230 c=6.5230 alpha=90.00 beta=90.00 gamma=90.00
Last column: nearest neighbours and their distance in Å.
Space group F-43m (No. 216)
Unique sites:
Ta  0.0000  0.0000  0.0000 x4  4 Pt 2.82, 4 Ta 2.82
Ta  0.2500  0.2500  0.2500 x4  4 Ta 2.82, 4 Nb 2.82
Nb  0.0000  0.0000  0.5000 x4  4 Ta 2.82, 4 Pt 2.82
Pt  0.2500  0.2500  0.7500 x4  4 Ta 2.82, 4 Nb 2.82



7.
A geometry-optimized Ta2NbPt3 structure. Source: OQMD, functional PBE.

Output
Calculated formation energy   -645 meV/atom
Size of the total moment   0.00 μB per cell
Volume   16.4 Å³ per atom

Unit cell a=13.9543 b=2.8216 c=4.9967 alpha=90.00 beta=90.00 gamma=90.00
Last column: nearest neighbours and their distance in Å.
Space group Pmma (No. 51)
Unique sites:
Ta  0.0832  0.0000  0.1584 x4  3 Ta 2.81-2.82, 8 Pt 2.84-2.88, 1 Nb 2.88
Nb  0.2500  0.0000  0.4990 x2  2 Nb 2.82, 8 Pt 2.84-2.87, 2 Ta 2.88
Pt  0.0829  0.5000  0.6602 x4  4 Pt 2.81-2.88, 2 Nb 2.84, 6 Ta 2.86-2.88
Pt  0.2500  0.5000  0.9998 x2  4 Pt 2.82-2.88, 4 Ta 2.84, 4 Nb 2.87



8.
A geometry-optimized Ta3Nb3Pt2 structure. Source: OQMD, functional PBE.

Output
Calculated formation energy   -410 meV/atom
Size of the total moment   0.01 μB per cell
Volume   17.4 Å³ per atom

Unit cell a=7.3351 b=7.3351 c=8.9858 alpha=90.00 beta=90.00 gamma=120.00
Last column: nearest neighbours and their distance in Å.
Space group R32 (No. 155, hexagonal axes)
Unique sites:
Ta  0.0000  0.7474  0.0000 x9  2 Nb 2.59, 4 Pt 2.87-2.90
Nb  0.0000  0.2474  0.5000 x9  2 Ta 2.59, 2 Pt 2.90
Pt  0.0000  0.0000  0.2440 x6  6 Ta 2.87-2.90, 6 Nb 2.90-2.93



9.
A geometry-optimized Ta3Nb3Pt2 structure. Source: OQMD, functional PBE.

Output
Calculated formation energy   -409 meV/atom
Size of the total moment   0.00 μB per cell
Volume   17.4 Å³ per atom

Unit cell a=5.1591 b=5.2115 c=5.1859 alpha=90.00 beta=90.00 gamma=90.00
Last column: nearest neighbours and their distance in Å.
Space group Pmm2 (No. 25)
Unique sites:
Ta  0.0000  0.0000  0.0000 x1  2 Nb 2.58-2.61, 2 Pt 2.88
Ta  0.5000  0.2493  0.7511 x2  2 Ta 2.60-2.61, 4 Pt 2.89-2.91
Nb  0.0000  0.0000  0.5030 x1  2 Ta 2.58-2.61
Nb  0.2508  0.5000  0.2521 x2  2 Nb 2.57-2.59
Pt  0.0000  0.5000  0.7536 x1  6 Nb 2.89-2.91, 6 Ta 2.89-2.90
Pt  0.5000  0.0000  0.2491 x1  6 Ta 2.88-2.91, 6 Nb 2.90-2.91



10.
A geometry-optimized NbTc2Pt structure. Source: OQMD, functional PBE.

Output
Calculated formation energy   48 meV/atom
Size of the total moment   0.08 μB per cell
Volume   15.8 Å³ per atom

Unit cell a=6.3215 b=6.3215 c=6.3215 alpha=90.00 beta=90.00 gamma=90.00
Last column: nearest neighbours and their distance in Å.
Space group F-43m (No. 216)
Unique sites:
Nb  0.0000  0.0000  0.0000 x4  4 Tc 2.74, 4 Pt 2.74
Tc  0.0000  0.0000  0.5000 x4  4 Tc 2.74, 4 Pt 2.74
Tc  0.2500  0.2500  0.7500 x4  4 Nb 2.74, 4 Tc 2.74
Pt  0.2500  0.2500  0.2500 x4  4 Nb 2.74, 4 Tc 2.74



11.
A geometry-optimized NbTe2Pt structure. Source: OQMD, functional PBE.

Output
Size of the total moment   1.61 μB per cell
Total energy   -84.08 eV/cell
Volume   21.2 Å³ per atom

Unit cell a=6.9742 b=6.9742 c=6.9742 alpha=90.00 beta=90.00 gamma=90.00
Last column: nearest neighbours and their distance in Å.
Space group F-43m (No. 216)
Unique sites:
Nb  0.0000  0.0000  0.0000 x4  4 Te 3.02, 4 Pt 3.02
Te  0.0000  0.0000  0.5000 x4  4 Pt 3.02, 4 Te 3.02
Te  0.2500  0.2500  0.7500 x4  4 Te 3.02, 4 Nb 3.02
Pt  0.2500  0.2500  0.2500 x4  4 Nb 3.02, 4 Te 3.02



12.
A geometry-optimized NbTePt structure. Source: OQMD, functional PBE.

Output
Distance to the lowest polymorph of the same formula   234 meV per atom
Size of the total moment   0.00 μB per cell
Volume   21.3 Å³ per atom

Unit cell a=6.3435 b=6.3435 c=6.3435 alpha=90.00 beta=90.00 gamma=90.00
Last column: nearest neighbours and their distance in Å.
Space group F-43m (No. 216)
Unique sites:
Nb  0.0000  0.0000  0.0000 x4  4 Te 2.75
Te  0.2500  0.2500  0.2500 x4  4 Nb 2.75, 4 Pt 2.75
Pt  0.0000  0.0000  0.5000 x4  4 Te 2.75